No. 1
First-principles (PBE-GGA) data for an optimized crystal structure of La4ErMg2, as listed in Alexandria.

Unit cell a=9.0152 b=9.0152 c=9.0152 alpha=36.32 beta=36.32 gamma=36.32
Atoms (fractional coordinates):
1 La 0.0772 0.0772 0.0772
2 La 0.3451 0.3451 0.3451
3 La 0.6549 0.6549 0.6549
4 La 0.9228 0.9228 0.9228
5 Er 0.5000 0.5000 0.5000
6 Mg 0.2103 0.2103 0.2103
7 Mg 0.7897 0.7897 0.7897

Values from the calculation:
For the density of states at the Fermi level, the calculation gives 8.8 states/eV/f.u. The space-group type is R-3m (166). The calculation puts the formation energy at 6 meV/atom.

***

No. 2
First-principles (PBE-GGA) data for an optimized crystal structure of LiLa3Hg, as listed in Alexandria.

Unit cell a=6.0301 b=6.0301 c=6.0301 alpha=90.00 beta=90.00 gamma=90.00
Atoms (fractional coordinates):
1 Li 0.0000 0.0000 0.0000
2 La 0.0000 0.5000 0.5000
3 La 0.5000 0.0000 0.5000
4 La 0.5000 0.5000 0.0000
5 Hg 0.5000 0.5000 0.5000

Values from the calculation:
For the density of states at the Fermi level, the calculation gives 11.0 states/eV/f.u. The space-group type is Pm-3m (221). Its offset from the most stable computed form is 2.288 eV/f.u. The calculation puts the formation energy at 283 meV/atom.

***

No. 3
First-principles (PBE-GGA) data for an optimized crystal structure of La2MnSb, as listed in Alexandria.

Unit cell a=4.0521 b=4.0521 c=7.1037 alpha=90.00 beta=90.00 gamma=90.00
Atoms (fractional coordinates):
1 La 0.0000 0.0000 0.2477
2 La 0.0000 0.0000 0.7523
3 Mn 0.5000 0.5000 0.5000
4 Sb 0.5000 0.5000 0.0000

Values from the calculation:
For the density of states at the Fermi level, the calculation gives 3.8 states/eV/f.u. The space-group type is P4/mmm (123). The calculation puts the formation energy from raw total energies at -346 meV/atom.

***

No. 4
First-principles (PBE-GGA) data for an optimized crystal structure of Zr4InHg3, as listed in Alexandria.

Unit cell a=4.5050 b=4.5050 c=17.1095 alpha=90.00 beta=90.00 gamma=90.00
Atoms (fractional coordinates):
1 Zr 0.0000 0.5000 0.1257
2 Zr 0.0000 0.5000 0.3743
3 Zr 0.0000 0.5000 0.6257
4 Zr 0.0000 0.5000 0.8743
5 Zr 0.5000 0.0000 0.1257
6 Zr 0.5000 0.0000 0.3743
7 Zr 0.5000 0.0000 0.6257
8 Zr 0.5000 0.0000 0.8743
9 In 0.0000 0.0000 0.0000
10 In 0.5000 0.5000 0.5000
11 Hg 0.0000 0.0000 0.2506
12 Hg 0.0000 0.0000 0.5000
13 Hg 0.0000 0.0000 0.7494
14 Hg 0.5000 0.5000 0.0000
15 Hg 0.5000 0.5000 0.2494
16 Hg 0.5000 0.5000 0.7506

Values from the calculation:
For the density of states at the Fermi level, the calculation gives 8.7 states/eV/f.u. The space-group type is I4/mmm (139). The calculation puts the formation energy at -216 meV/atom.

***

No. 5
First-principles (PBE-GGA) data for an optimized crystal structure of TbTl2SbTe4, as listed in Alexandria.

Unit cell a=7.8059 b=4.4793 c=8.4708 alpha=90.00 beta=107.78 gamma=90.00
Atoms (fractional coordinates):
1 Tb 0.0000 0.0000 0.0000
2 Tl 0.0000 0.5000 0.5000
3 Tl 0.5000 0.0000 0.5000
4 Sb 0.5000 0.5000 0.0000
5 Te 0.2390 0.5000 0.2134
6 Te 0.2622 0.0000 0.7865
7 Te 0.7378 0.0000 0.2135
8 Te 0.7610 0.5000 0.7866

Values from the calculation:
For the density of states at the Fermi level, the calculation gives 0.1 states/eV/f.u. The space-group type is P2/m (10). The calculation puts the formation energy from raw total energies at -637 meV/atom.

***

No. 6
First-principles (PBE-GGA) data for an optimized crystal structure of Tb3ErTm6, as listed in Alexandria.

Unit cell a=10.8280 b=10.8280 c=6.1112 alpha=90.00 beta=90.00 gamma=119.71
Atoms (fractional coordinates):
1 Tb 0.1084 0.8916 0.5000
2 Tb 0.2202 0.4379 0.8898
3 Tb 0.4379 0.2202 0.3898
4 Tb 0.5621 0.7798 0.8898
5 Tb 0.7798 0.5621 0.3898
6 Tb 0.8916 0.1084 0.0000
7 Er 0.2912 0.7088 0.5829
8 Er 0.7088 0.2912 0.0829
9 Tm 0.0407 0.4620 0.2950
10 Tm 0.1165 0.2120 0.4644
11 Tm 0.2120 0.1165 0.9644
12 Tm 0.2158 0.7842 0.0726
13 Tm 0.4517 0.5483 0.3534
14 Tm 0.4620 0.0407 0.7950
15 Tm 0.5380 0.9593 0.2950
16 Tm 0.5483 0.4517 0.8534
17 Tm 0.7842 0.2158 0.5726
18 Tm 0.7880 0.8835 0.4644
19 Tm 0.8835 0.7880 0.9644
20 Tm 0.9593 0.5380 0.7950

Values from the calculation:
For the density of states at the Fermi level, the calculation gives 14.7 states/eV/f.u. The space-group type is Cmc2_1 (36). Its offset from the most stable computed form is 0.269 eV/f.u. The calculation puts the formation energy at 150 meV/atom.

***

No. 7
First-principles (PBE-GGA) data for an optimized crystal structure of PdW3C, as listed in Alexandria.

Unit cell a=4.1479 b=4.1479 c=4.1479 alpha=90.00 beta=90.00 gamma=90.00
Atoms (fractional coordinates):
1 Pd 0.0000 0.0000 0.0000
2 W 0.0000 0.5000 0.5000
3 W 0.5000 0.0000 0.5000
4 W 0.5000 0.5000 0.0000
5 C 0.5000 0.5000 0.5000

Values from the calculation:
For the density of states at the Fermi level, the calculation gives 2.7 states/eV/f.u. The space-group type is Pm-3m (221). Its offset from the most stable computed form is 0.000 eV/f.u. The calculation puts the formation energy at 193 meV/atom.

***

No. 8
First-principles (PBE-GGA) data for an optimized crystal structure of PaNi2H7, as listed in Alexandria.

Unit cell a=5.1958 b=5.1958 c=3.2983 alpha=90.00 beta=90.00 gamma=126.03
Atoms (fractional coordinates):
1 Pa 0.0000 0.0000 0.0000
2 Ni 0.3231 0.6769 0.5000
3 Ni 0.6769 0.3231 0.5000
4 H 0.0267 0.3097 0.5000
5 H 0.3097 0.0267 0.5000
6 H 0.3442 0.6558 0.0000
7 H 0.5000 0.5000 0.5000
8 H 0.6558 0.3442 0.0000
9 H 0.6903 0.9733 0.5000
10 H 0.9733 0.6903 0.5000

Values from the calculation:
For the density of states at the Fermi level, the calculation gives 5.9 states/eV/f.u. The space-group type is Cmmm (65). The total energy is -4.564 eV per atom.

***

No. 9
First-principles (PBE-GGA) data for an optimized crystal structure of HfFe3Pt, as listed in Alexandria.

Unit cell a=4.4577 b=4.4577 c=4.4577 alpha=90.00 beta=90.00 gamma=90.00
Atoms (fractional coordinates):
1 Hf 0.0000 0.0000 0.0000
2 Fe 0.0000 0.0000 0.5000
3 Fe 0.0000 0.5000 0.0000
4 Fe 0.5000 0.0000 0.0000
5 Pt 0.5000 0.5000 0.5000

Values from the calculation:
For the density of states at the Fermi level, the calculation gives 5.6 states/eV/f.u. The space-group type is Pm-3m (221). Its offset from the most stable computed form is 2.696 eV/f.u. The calculation puts the formation energy at 1487 meV/atom.

***

No. 10
First-principles (PBE-GGA) data for an optimized crystal structure of TlCuSb2, as listed in Alexandria.

Unit cell a=5.0504 b=3.9948 c=5.1000 alpha=90.00 beta=103.33 gamma=90.00
Atoms (fractional coordinates):
1 Tl 0.0000 0.0000 0.0000
2 Cu 0.5000 0.5000 0.0000
3 Sb 0.0000 0.5000 0.5000
4 Sb 0.5000 0.0000 0.5000

Values from the calculation:
For the density of states at the Fermi level, the calculation gives 1.6 states/eV/f.u. The space-group type is P2/m (10). The calculation puts the formation energy from raw total energies at 339 meV/atom. Its offset from the most stable computed form is 1.133 eV/f.u.

***

No. 11
First-principles (PBE-GGA) data for an optimized crystal structure of Li2CrPBr, as listed in Alexandria.

Unit cell a=5.4028 b=5.4028 c=4.6685 alpha=90.00 beta=90.00 gamma=90.00
Atoms (fractional coordinates):
1 Li 0.0000 0.5000 0.0000
2 Li 0.5000 0.0000 0.0000
3 Cr 0.0000 0.0000 0.0000
4 P 0.5000 0.5000 0.5000
5 Br 0.0000 0.0000 0.5000

Values from the calculation:
For the density of states at the Fermi level, the calculation gives 2.0 states/eV/f.u. The space-group type is P4/mmm (123). The calculation puts the formation energy from raw total energies at 676 meV/atom.

***

No. 12
First-principles (PBE-GGA) data for an optimized crystal structure of Er2Ni6BPt, as listed in Alexandria.

Unit cell a=5.2298 b=5.2344 c=6.8538 alpha=67.78 beta=67.70 gamma=60.10
Atoms (fractional coordinates):
1 Er 0.2185 0.2197 0.3451
2 Er 0.7815 0.7803 0.6549
3 Ni 0.2321 0.6930 0.8402
4 Ni 0.2329 0.2313 0.8360
5 Ni 0.3043 0.7692 0.1615
6 Ni 0.6957 0.2308 0.8385
7 Ni 0.7671 0.7687 0.1640
8 Ni 0.7679 0.3070 0.1598
9 B 0.0000 0.0000 0.0000
10 Pt 0.5000 0.5000 0.5000

Values from the calculation:
For the density of states at the Fermi level, the calculation gives 8.3 states/eV/f.u. The space-group type is P-1 (2). The calculation puts the formation energy at -463 meV/atom.

***

No. 13
First-principles (PBE-GGA) data for an optimized crystal structure of BeCrSi2, as listed in Alexandria.

Unit cell a=3.6155 b=3.6155 c=3.4968 alpha=90.00 beta=90.00 gamma=90.00
Atoms (fractional coordinates):
1 Be 0.0000 0.0000 0.0000
2 Cr 0.5000 0.5000 0.0000
3 Si 0.0000 0.5000 0.5000
4 Si 0.5000 0.0000 0.5000

Values from the calculation:
For the density of states at the Fermi level, the calculation gives 1.6 states/eV/f.u. The space-group type is P4/mmm (123). The calculation puts the formation energy from raw total energies at 57 meV/atom.